## AlAg14Ge (PBE)

Data for a relaxed structure of AlAg14Ge.

The structure belongs to space group Amm2 (No. 38); the cell edges are 9.4402, 5.8712 and 10.2571 Å and the angles 90.00°, 90.00° and 90.00°. The asymmetric unit holds Al at (0.0000, 0.0000, 0.0000), Ag at (0.0000, 0.2504, 0.2478), Ag at (0.2455, 0.2480, 0.9154), Ag at (0.2478, 0.0000, 0.1630), Ag at (0.2518, 0.0000, 0.6649), Ag at (0.5000, 0.0000, 0.3311), Ag at (0.5000, 0.0000, 0.8313), Ag at (0.5000, 0.2495, 0.0799) and Ge at (0.0000, 0.0000, 0.5012).

The value obtained for the electronic total energy is -2.982 eV per atom. The energy of formation from the pure elements comes out at 0.035 eV per atom. The total moment comes out at 0.000 μB/cell.